VASP calculation (PBE-GGA) on a geometry-optimized BiIr2C structure.

Structure (extended XYZ):
```
8
Lattice="-2.513 -2.136 -4.156 -4.063 -1.333 3.142 -5.587 2.917 -1.507" Properties=species:S:1:pos:R:3 pbc="T T T"
Bi 0.000 0.000 0.000
Bi -5.694 -0.477 -3.086
Ir -9.459 -0.688 -2.394
Ir -4.551 -0.626 0.570
Ir -7.142 0.727 -1.135
Ir -3.175 -0.517 -2.085
C -3.288 -1.734 -0.507
C -6.469 -0.075 0.564
```

Values from the calculation:
E in eV/atom: -7.20
Size of the total moment in μB per atom: 0.000